No. 1
TmTlTe3Pt | PBE | relaxed

Geometry as extended XYZ:
```
12
Lattice="-5.4959 5.5654 3.5827 2.4543 -5.2767 -6.3362 -4.9967 -7.9508 4.6858" Properties=species:S:1:pos:R:3 pbc="T T T"
Pt -1.4187 -11.0687 -2.6654
Pt -6.6197 3.4067 4.5977
Tl -7.1890 -3.1994 4.5339
Tl -0.8493 -4.4627 -2.6016
Te -4.5651 -6.7777 1.2602
Te -3.4732 -0.8843 0.6721
Te -6.6238 0.7466 4.3233
Te -4.8196 3.6174 2.6313
Te -1.4146 -8.4087 -2.3910
Te -3.2187 -11.2795 -0.6990
Tm -4.0192 -3.8310 0.9661
Tm -1.5208 0.1444 -1.3768
```

Properties
Uncorrected energy ... -53.1 eV for the cell shown
Total magnetic moment ... 0.00 μB per cell
Energy above the lowest structure with this stoichiometry ... 0.000 eV per formula unit

No. 2
Pr3CdIn2Ag2Pd | PBE | relaxed

Geometry as extended XYZ:
```
9
Lattice="4.1648 0.0000 0.0000 0.0000 6.8216 3.9584 0.0000 -6.8216 3.9584" Properties=species:S:1:pos:R:3 pbc="T T T"
In 0.0000 -1.6820 6.9389
In 0.0000 1.6820 6.9389
Pd 2.0824 0.0000 7.8676
Ag 0.0000 2.2875 3.9716
Ag 0.0000 -2.2875 3.9716
Pr 2.0824 2.7400 1.6019
Pr 2.0824 -2.7400 1.6019
Pr 2.0824 0.0000 4.7044
Cd 0.0000 0.0000 1.9872
```

Properties
Uncorrected energy ... -36.0 eV for the cell shown
Total magnetic moment ... 0.02 μB per cell